Re2PtAu | PBE | relaxed

Properties
- Total DFT energy (no corrections): -8.277 eV/atom
- Distance to the lowest polymorph of the same formula: 0.82 eV/f.u.
- E_form: 6.4 kcal/mol of atoms
- Density: 20.3 Mg/m³

Unit cell a=4.919 b=4.919 c=4.824 alpha=80.44 beta=80.44 gamma=32.94
Atoms (fractional coordinates):
1 Re 0.996 0.996 0.007
2 Re 0.504 0.504 0.493
3 Pt 0.250 0.250 0.250
4 Au 0.750 0.750 0.750

Ca3CCl | PBE | relaxed

Properties
- Total DFT energy (no corrections): -3.761 eV/atom
- Distance to the lowest polymorph of the same formula: 0.00 eV/f.u.
- ΔE_f (raw): -345.6 meV/atom
- Density: 2.1 Mg/m³

Unit cell a=5.082 b=5.082 c=5.082 alpha=90.00 beta=90.00 gamma=90.00
Atoms (fractional coordinates):
1 Ca 0.000 0.500 0.000
2 C 0.000 0.000 0.000
3 Ca 0.000 0.000 0.500
4 Cl 0.500 0.500 0.500
5 Ca 0.500 0.000 0.000

Rb2TaHgSe4 | PBE | relaxed

Properties
- Total DFT energy (no corrections): -4.283 eV/atom
- ΔE_f (raw): -779.4 meV/atom
- Density: 4.8 Mg/m³

Unit cell a=7.033 b=7.771 c=12.818 alpha=82.87 beta=74.08 gamma=63.10
Atoms (fractional coordinates):
1 Hg 0.000 0.000 0.000
2 Se 0.501 0.299 0.611
3 Se 0.888 0.701 0.611
4 Ta 0.250 0.500 0.500
5 Ta 0.500 0.000 0.000
6 Se 0.412 0.701 0.389
7 Se 0.199 0.299 0.389
8 Se 0.249 0.201 0.889
9 Se 0.862 0.799 0.889
10 Rb 0.819 0.000 0.363
11 Se 0.551 0.201 0.111
12 Rb 0.181 0.000 0.637
13 Rb 0.931 0.500 0.137
14 Se 0.338 0.799 0.111
15 Rb 0.569 0.500 0.863
16 Hg 0.750 0.500 0.500